DFT (PBE) results for Ce3DySe6 after structural relaxation.

abc: 7.0429 7.7894 10.5498
angles: 90.00 90.82 90.00
Each line ends with the local moment (μB).
Element x y z (fractional)
Ce 0.5430 0.8968 0.7481  1.01
Ce 0.5000 0.5000 0.0000  0.83
Ce 0.4570 0.1032 0.2519  1.01
Ce 0.0430 0.6032 0.2481  1.01
Ce 0.0000 0.0000 0.5000  0.83
Ce 0.9570 0.3968 0.7519  1.01
Dy 0.5000 0.5000 0.5000  0.02
Dy 0.0000 0.0000 0.0000  0.02
Se 0.6747 0.1805 0.9215  -0.02
Se 0.6680 0.1851 0.5768  -0.02
Se 0.6572 0.4398 0.2547  -0.02
Se 0.3428 0.5602 0.7453  -0.02
Se 0.3320 0.8149 0.4232  -0.02
Se 0.3253 0.8195 0.0785  -0.02
Se 0.1747 0.3195 0.4215  -0.02
Se 0.1680 0.3149 0.0768  -0.02
Se 0.1572 0.0602 0.7547  -0.02
Se 0.8428 0.9398 0.2453  -0.02
Se 0.8320 0.6851 0.9232  -0.02
Se 0.8253 0.6805 0.5785  -0.02

Computed properties:
Polymorph energy (0 for the lowest one), meV per atom: 0.0
E_form (uncorrected), kJ per mole of atoms: -171.6
Volume, A^3/atom: 28.94

DFT (PBE) results for Ce3Dy5Se8 after structural relaxation.

abc: 8.2239 8.2239 8.2662
angles: 60.17 60.17 60.00
Each line ends with the local moment (μB).
Element x y z (fractional)
Ce 0.5000 0.0000 0.5000  0.76
Ce 0.0000 0.0000 0.5000  0.76
Ce 0.0000 0.5000 0.5000  0.76
Dy 0.5000 0.0000 0.0000  -0.01
Dy 0.5000 0.5000 0.0000  -0.01
Dy 0.0000 0.0000 0.0000  0.02
Dy 0.0000 0.5000 0.0000  -0.01
Dy 0.5000 0.5000 0.5000  0.03
Se 0.2499 0.2499 0.7575  0.00
Se 0.2499 0.7427 0.7575  0.00
Se 0.7427 0.2499 0.7575  0.00
Se 0.7462 0.7462 0.7615  -0.01
Se 0.7501 0.7501 0.2425  0.00
Se 0.7501 0.2573 0.2425  0.00
Se 0.2573 0.7501 0.2425  0.00
Se 0.2538 0.2538 0.2385  -0.01

Computed properties:
E_form (uncorrected), kJ per mole of atoms: -172.1
Volume, A^3/atom: 24.77

DFT (PBE) results for Ce2DySe3 after structural relaxation.

abc: 4.0888 4.0888 21.1586
angles: 90.00 90.00 120.00
Each line ends with the local moment (μB).
Element x y z (fractional)
Ce 0.3333 0.6667 0.9169  0.80
Ce 0.6667 0.3333 0.0831  0.80
Ce 0.6667 0.3333 0.4169  0.80
Ce 0.3333 0.6667 0.5831  0.80
Dy 0.0000 0.0000 0.2500  -0.02
Dy 0.0000 0.0000 0.7500  -0.02
Se 0.0000 0.0000 0.0000  -0.02
Se 0.3333 0.6667 0.1689  -0.01
Se 0.3333 0.6667 0.3311  -0.01
Se 0.0000 0.0000 0.5000  -0.02
Se 0.6667 0.3333 0.6689  -0.01
Se 0.6667 0.3333 0.8311  -0.01

Computed properties:
Polymorph energy (0 for the lowest one), meV per atom: 23.9
E_form (uncorrected), kJ per mole of atoms: -171.3
Volume, A^3/atom: 25.53

DFT (PBE) results for Ce2Dy2Se7 after structural relaxation.

abc: 4.1166 8.8535 8.8535
angles: 61.67 76.56 76.56
Each line ends with the local moment (μB).
Element x y z (fractional)
Ce 0.7396 0.8487 0.6720  0.28
Ce 0.2604 0.3280 0.1513  0.28
Dy 0.0000 0.7848 0.2152  -0.01
Dy 0.5000 0.3285 0.6715  -0.01
Se 0.8167 0.0735 0.2930  -0.03
Se 0.8618 0.4198 0.8566  -0.02
Se 0.5000 0.0093 0.9907  -0.03
Se 0.6097 0.4957 0.2848  -0.01
Se 0.3903 0.7152 0.5043  -0.01
Se 0.1833 0.7070 0.9265  -0.03
Se 0.1382 0.1434 0.5802  -0.02

Computed properties:
E_form (uncorrected), kJ per mole of atoms: -164.6
Volume, A^3/atom: 24.86